Material: LiMgTa
Method: DFT, PBEsol
State: relaxed

a b c (Å): 6.671 6.671 6.671
angles (deg): 155.21 155.21 35.35
Element x y z (fractional)
Li (0.000, 0.000, 0.000)
Mg (0.666, 0.666, 0.000)
Ta (0.337, 0.337, 0.000)

Summary:
space group	I4mm (107)
E_form	0.353	eV per atom
total magnetization	0.00	μB per cell
raw total energy	-5.06	eV per atom